# La2PaAgTe5 (PBE, optimized geometry)
# **Magnetization**: 2.87 Bohr magnetons per cell
# **Uncorrected formation energy**: -1.091 eV/atom
data_La2PaAgTe5
_chemical_formula_sum 'La4 Pa2 Ag2 Te10'
_cell_length_a 9.804
_cell_length_b 9.804
_cell_length_c 13.465
_cell_angle_alpha 90.00
_cell_angle_beta 90.00
_cell_angle_gamma 153.90
_space_group_name_H-M_alt 'P 1'
_space_group_IT_number 1
_space_group_name_Hall 'P 1'
loop_
_atom_site_label
_atom_site_type_symbol
_atom_site_fract_x
_atom_site_fract_y
_atom_site_fract_z
La1 La 0.113 0.887 0.500
La2 La 0.125 0.875 0.119
La3 La 0.875 0.125 0.619
La4 La 0.887 0.113 0.000
Pa1 Pa 0.195 0.805 0.821
Pa2 Pa 0.805 0.195 0.321
Ag1 Ag 0.434 0.566 0.262
Ag2 Ag 0.566 0.434 0.762
Te1 Te 0.043 0.957 0.879
Te2 Te 0.291 0.709 0.481
Te3 Te 0.305 0.695 0.155
Te4 Te 0.358 0.642 0.813
Te5 Te 0.497 0.503 0.582
Te6 Te 0.503 0.497 0.082
Te7 Te 0.642 0.358 0.313
Te8 Te 0.695 0.305 0.655
Te9 Te 0.709 0.291 0.981
Te10 Te 0.957 0.043 0.379